# 1
# Sr3LiSc | the Alexandria database | meta-GGA SCAN | PBEsol geometry
data_Sr3LiSc
_space_group_name_H-M_alt 'P 1'
_space_group_IT_number 1
_cell_length_a 6.370
_cell_length_b 6.370
_cell_length_c 6.370
_cell_angle_alpha 90.00
_cell_angle_beta 90.00
_cell_angle_gamma 90.00
loop_
_space_group_symop_operation_xyz
'x,y,z'
loop_
_atom_site_label
_atom_site_fract_x
_atom_site_fract_y
_atom_site_fract_z
_atom_site_occupancy
Sc1 0.000 0.000 0.000 1
Sr1 0.000 0.500 0.000 1
Sr2 0.000 0.000 0.500 1
Sr3 0.500 0.000 0.000 1
Li1 0.500 0.500 0.500 1
# Space group: Pm-3m, No. 221
# Raw total energy: -16.066 eV per atom
# Energy of formation: 624 meV/atom

=====

# 2
# Ca2AlAg2 | the Alexandria database | meta-GGA SCAN | PBEsol geometry
data_Ca2AlAg2
_space_group_name_H-M_alt 'P 1'
_space_group_IT_number 1
_cell_length_a 4.271
_cell_length_b 7.371
_cell_length_c 7.371
_cell_angle_alpha 90.00
_cell_angle_beta 90.00
_cell_angle_gamma 90.00
loop_
_space_group_symop_operation_xyz
'x,y,z'
loop_
_atom_site_label
_atom_site_fract_x
_atom_site_fract_y
_atom_site_fract_z
_atom_site_occupancy
Ca1 0.500 0.175 0.675 1
Ca2 0.500 0.675 0.825 1
Ca3 0.500 0.825 0.325 1
Ca4 0.500 0.325 0.175 1
Al1 0.000 0.000 0.000 1
Al2 0.000 0.500 0.500 1
Ag1 0.000 0.367 0.867 1
Ag2 0.000 0.867 0.633 1
Ag3 0.000 0.633 0.133 1
Ag4 0.000 0.133 0.367 1
# Space group: P4/mbm, No. 127
# Raw total energy: -18.234 eV per atom
# Energy of formation: -271 meV/atom

=====

# 3
# ZnSiSe2 | the Alexandria database | meta-GGA SCAN | PBEsol geometry
data_ZnSiSe2
_space_group_name_H-M_alt 'P 1'
_space_group_IT_number 1
_cell_length_a 3.431
_cell_length_b 3.908
_cell_length_c 6.447
_cell_angle_alpha 107.64
_cell_angle_beta 105.43
_cell_angle_gamma 90.00
loop_
_space_group_symop_operation_xyz
'x,y,z'
loop_
_atom_site_label
_atom_site_fract_x
_atom_site_fract_y
_atom_site_fract_z
_atom_site_occupancy
Se1 0.844 0.844 0.689 1
Se2 0.156 0.156 0.311 1
Si1 0.500 0.000 0.000 1
Zn1 0.000 0.500 0.000 1
# Space group: Immm, No. 71
# Uncorrected formation energy: 77 meV per atom
# Raw total energy: -15.845 eV per atom

=====

# 4
# HfFeGe2 | the Alexandria database | meta-GGA SCAN | PBEsol geometry
data_HfFeGe2
_space_group_name_H-M_alt 'P 1'
_space_group_IT_number 1
_cell_length_a 4.414
_cell_length_b 4.414
_cell_length_c 4.414
_cell_angle_alpha 60.00
_cell_angle_beta 60.00
_cell_angle_gamma 60.00
loop_
_space_group_symop_operation_xyz
'x,y,z'
loop_
_atom_site_label
_atom_site_fract_x
_atom_site_fract_y
_atom_site_fract_z
_atom_site_occupancy
Ge1 0.250 0.250 0.250 1
Ge2 0.750 0.750 0.750 1
Hf1 0.500 0.500 0.500 1
Fe1 0.000 0.000 0.000 1
# Space group: Fm-3m, No. 225
# Raw total energy: -29.778 eV per atom
# Energy of formation: -33 meV/atom

=====

# 5
# Na4Al3Ge3ClO12 | the Alexandria database | meta-GGA SCAN | PBEsol geometry
data_Na4Al3Ge3ClO12
_space_group_name_H-M_alt 'P 1'
_space_group_IT_number 1
_cell_length_a 9.052
_cell_length_b 9.052
_cell_length_c 9.052
_cell_angle_alpha 90.00
_cell_angle_beta 90.00
_cell_angle_gamma 90.00
loop_
_space_group_symop_operation_xyz
'x,y,z'
loop_
_atom_site_label
_atom_site_fract_x
_atom_site_fract_y
_atom_site_fract_z
_atom_site_occupancy
Na1 0.171 0.829 0.829 1
Na2 0.329 0.671 0.329 1
Na3 0.671 0.329 0.329 1
Na4 0.829 0.171 0.829 1
Na5 0.329 0.329 0.671 1
Na6 0.671 0.671 0.671 1
Na7 0.171 0.171 0.171 1
Na8 0.829 0.829 0.171 1
Al1 0.000 0.500 0.750 1
Al2 0.000 0.500 0.250 1
Al3 0.500 0.750 0.000 1
Al4 0.750 0.000 0.500 1
Al5 0.500 0.250 0.000 1
Al6 0.250 0.000 0.500 1
Ge1 0.500 0.000 0.750 1
Ge2 0.500 0.000 0.250 1
Ge3 0.750 0.500 0.000 1
Ge4 0.250 0.500 0.000 1
Ge5 0.000 0.250 0.500 1
Ge6 0.000 0.750 0.500 1
Cl1 0.000 0.000 0.000 1
Cl2 0.500 0.500 0.500 1
O1 0.643 0.924 0.643 1
O2 0.576 0.143 0.857 1
O3 0.143 0.857 0.576 1
O4 0.576 0.857 0.143 1
O5 0.643 0.357 0.076 1
O6 0.643 0.076 0.357 1
O7 0.857 0.857 0.424 1
O8 0.424 0.857 0.857 1
O9 0.643 0.643 0.924 1
O10 0.357 0.924 0.357 1
O11 0.357 0.643 0.076 1
O12 0.857 0.576 0.143 1
O13 0.924 0.357 0.357 1
O14 0.424 0.143 0.143 1
O15 0.857 0.143 0.576 1
O16 0.143 0.424 0.143 1
O17 0.357 0.076 0.643 1
O18 0.076 0.357 0.643 1
O19 0.924 0.643 0.643 1
O20 0.143 0.576 0.857 1
O21 0.143 0.143 0.424 1
O22 0.857 0.424 0.857 1
O23 0.076 0.643 0.357 1
O24 0.357 0.357 0.924 1
# Space group: P-43n, No. 218
# Uncorrected formation energy: -2425 meV per atom
# Raw total energy: -10.256 eV per atom

=====

# 6
# Ho2Fe17N3 | the Alexandria database | meta-GGA SCAN | PBEsol geometry
data_Ho2Fe17N3
_space_group_name_H-M_alt 'P 1'
_space_group_IT_number 1
_cell_length_a 8.202
_cell_length_b 8.439
_cell_length_c 8.439
_cell_angle_alpha 120.00
_cell_angle_beta 90.00
_cell_angle_gamma 90.00
loop_
_space_group_symop_operation_xyz
'x,y,z'
loop_
_atom_site_label
_atom_site_fract_x
_atom_site_fract_y
_atom_site_fract_z
_atom_site_occupancy
Ho1 0.250 0.333 0.667 1
Ho2 0.750 0.667 0.333 1
Ho3 0.250 0.000 0.000 1
Ho4 0.750 0.000 0.000 1
Fe1 0.250 0.946 0.619 1
Fe2 0.750 0.054 0.381 1
Fe3 0.250 0.673 0.054 1
Fe4 0.750 0.619 0.946 1
Fe5 0.750 0.327 0.946 1
Fe6 0.250 0.381 0.054 1
Fe7 0.250 0.381 0.327 1
Fe8 0.750 0.054 0.673 1
Fe9 0.750 0.619 0.673 1
Fe10 0.250 0.946 0.327 1
Fe11 0.750 0.327 0.381 1
Fe12 0.250 0.673 0.619 1
Fe13 0.892 0.333 0.667 1
Fe14 0.108 0.667 0.333 1
Fe15 0.392 0.667 0.333 1
Fe16 0.608 0.333 0.667 1
Fe17 0.479 0.663 0.831 1
Fe18 0.521 0.337 0.169 1
Fe19 0.479 0.169 0.337 1
Fe20 0.979 0.337 0.169 1
Fe21 0.521 0.831 0.663 1
Fe22 0.021 0.663 0.831 1
Fe23 0.479 0.169 0.831 1
Fe24 0.979 0.831 0.663 1
Fe25 0.521 0.831 0.169 1
Fe26 0.021 0.169 0.337 1
Fe27 0.979 0.831 0.169 1
Fe28 0.021 0.169 0.831 1
Fe29 0.500 0.000 0.500 1
Fe30 0.500 0.500 0.000 1
Fe31 0.000 0.000 0.500 1
Fe32 0.500 0.500 0.500 1
Fe33 0.000 0.500 0.000 1
Fe34 0.000 0.500 0.500 1
N1 0.250 0.671 0.835 1
N2 0.750 0.329 0.165 1
N3 0.250 0.165 0.329 1
N4 0.750 0.835 0.671 1
N5 0.250 0.165 0.835 1
N6 0.750 0.835 0.165 1
# Space group: P6_3/mmc, No. 194
# Uncorrected formation energy: -295 meV per atom
# Raw total energy: -20.025 eV per atom

=====

# 7
# CsLuS2 | the Alexandria database | meta-GGA SCAN | PBEsol geometry
data_CsLuS2
_space_group_name_H-M_alt 'P 1'
_space_group_IT_number 1
_cell_length_a 3.948
_cell_length_b 3.948
_cell_length_c 8.234
_cell_angle_alpha 76.13
_cell_angle_beta 76.13
_cell_angle_gamma 60.00
loop_
_space_group_symop_operation_xyz
'x,y,z'
loop_
_atom_site_label
_atom_site_fract_x
_atom_site_fract_y
_atom_site_fract_z
_atom_site_occupancy
Cs1 0.000 0.000 0.000 1
S1 0.773 0.773 0.680 1
S2 0.227 0.227 0.320 1
Lu1 0.500 0.500 0.500 1
# Space group: R-3m, No. 166
# Uncorrected formation energy: -2086 meV per atom
# Raw total energy: -30.189 eV per atom
# Energy relative to the lowest polymorph listed for this composition: 3 meV per atom

=====

# 8
# Ta2TeH | the Alexandria database | meta-GGA SCAN | PBEsol geometry
data_Ta2TeH
_space_group_name_H-M_alt 'P 1'
_space_group_IT_number 1
_cell_length_a 5.077
_cell_length_b 5.077
_cell_length_c 6.382
_cell_angle_alpha 113.44
_cell_angle_beta 113.44
_cell_angle_gamma 90.00
loop_
_space_group_symop_operation_xyz
'x,y,z'
loop_
_atom_site_label
_atom_site_fract_x
_atom_site_fract_y
_atom_site_fract_z
_atom_site_occupancy
H1 0.750 0.250 0.500 1
H2 0.500 0.500 0.000 1
Te1 0.250 0.750 0.500 1
Te2 0.000 0.000 0.000 1
Ta1 0.553 0.875 0.250 1
Ta2 0.697 0.375 0.250 1
Ta3 0.125 0.303 0.750 1
Ta4 0.625 0.447 0.750 1
# Space group: I-42d, No. 122
# Raw total energy: -43.073 eV per atom

=====

# 9
# ScPd3I | the Alexandria database | meta-GGA SCAN | PBEsol geometry
data_ScPd3I
_space_group_name_H-M_alt 'P 1'
_space_group_IT_number 1
_cell_length_a 4.788
_cell_length_b 4.788
_cell_length_c 4.788
_cell_angle_alpha 90.00
_cell_angle_beta 90.00
_cell_angle_gamma 90.00
loop_
_space_group_symop_operation_xyz
'x,y,z'
loop_
_atom_site_label
_atom_site_fract_x
_atom_site_fract_y
_atom_site_fract_z
_atom_site_occupancy
I1 0.500 0.500 0.500 1
Sc1 0.000 0.000 0.000 1
Pd1 0.000 0.500 0.000 1
Pd2 0.000 0.000 0.500 1
Pd3 0.500 0.000 0.000 1
# Space group: Pm-3m, No. 221
# Uncorrected formation energy: 395 meV per atom
# Raw total energy: -29.466 eV per atom

=====

# 10
# Ce2CdIn | the Alexandria database | meta-GGA SCAN | PBEsol geometry
data_Ce2CdIn
_space_group_name_H-M_alt 'P 1'
_space_group_IT_number 1
_cell_length_a 5.327
_cell_length_b 5.327
_cell_length_c 5.327
_cell_angle_alpha 60.00
_cell_angle_beta 60.00
_cell_angle_gamma 60.00
loop_
_space_group_symop_operation_xyz
'x,y,z'
loop_
_atom_site_label
_atom_site_fract_x
_atom_site_fract_y
_atom_site_fract_z
_atom_site_occupancy
Ce1 0.750 0.750 0.750 1
Ce2 0.250 0.250 0.250 1
Cd1 0.500 0.500 0.500 1
In1 0.000 0.000 0.000 1
# Space group: Fm-3m, No. 225
# Raw total energy: -38.596 eV per atom
# Energy of formation: -364 meV/atom